Entry 1:
NdTe3: optimized geometry, PBE.

Cell: 4.450 9.760 6.078 Å, 90.00 90.00 90.00°
Space group Imm2 (No. 44)
Symmetry-distinct sites (fractional):
Nd 0.000 0.000 0.000 x2
Te 0.000 0.305 0.251 x4
Te 0.000 0.500 0.875 x2

Mass density, Mg/m³: 6.6
Crystal system: orthorhombic
Energy relative to the elements, uncorrected, eV per atom: -0.764

---

Entry 2:
Nd3Te4: optimized geometry, PBE.

Cell: 9.543 9.543 9.543 Å, 90.00 90.00 90.00°
Space group I-43d (No. 220)
Symmetry-distinct sites (fractional):
Nd 0.000 0.250 0.875 x12
Te 0.075 0.425 0.575 x16

Mass density, Mg/m³: 7.2
Crystal system: cubic
Energy relative to the elements, uncorrected, eV per atom: -1.427

---

Entry 3:
Nd4Te3: optimized geometry, PBE.

Cell: 9.440 9.440 9.440 Å, 90.00 90.00 90.00°
Space group I-43d (No. 220)
Symmetry-distinct sites (fractional):
Nd 0.072 0.428 0.572 x16
Te 0.000 0.250 0.875 x12

Mass density, Mg/m³: 7.6
Crystal system: cubic
Energy relative to the elements, uncorrected, eV per atom: -1.223

---

Entry 4:
Nd3Te4: optimized geometry, PBE.

Cell: 4.5064 4.5064 44.5464 Å, 90.00 90.00 120.00°
Space group R-3m (No. 166, hexagonal axes)
Symmetry-distinct sites (fractional):
Nd 0.0000 0.0000 0.0000 x3
Nd 0.0000 0.0000 0.2456 x6
Te 0.0000 0.0000 0.1246 x6
Te 0.0000 0.0000 0.3755 x6

Mass density, Mg/m³: 6.0
Crystal system: trigonal
Energy relative to the elements, uncorrected, eV per atom: -1.381

---

Entry 5:
Nd5Te4: optimized geometry, PBE.

Cell: 9.880 9.880 6.309 Å, 90.00 90.00 90.00°
Space group I4/m (No. 87)
Symmetry-distinct sites (fractional):
Nd 0.000 0.000 0.000 x2
Nd 0.103 0.707 0.500 x8
Te 0.094 0.697 0.000 x8

Mass density, Mg/m³: 6.6
Crystal system: tetragonal
Energy relative to the elements, uncorrected, eV per atom: -1.188

---

Entry 6:
NdTh2Te6: optimized geometry, PBE.

Cell: 7.426 7.426 13.896 Å, 90.00 90.00 90.00°
Space group P4_2/mnm (No. 136)
Symmetry-distinct sites (fractional):
Nd 0.000 0.000 0.000 x2
Th 0.000 0.000 0.333 x4
Te 0.198 0.198 0.500 x4
Te 0.203 0.203 0.169 x8

Mass density, Mg/m³: 6.0
Crystal system: tetragonal
Energy relative to the elements, uncorrected, eV per atom: -1.022

---

What did the first record say?
NdTe3: optimized geometry, PBE.

Cell: 4.450 9.760 6.078 Å, 90.00 90.00 90.00°
Space group Imm2 (No. 44)
Symmetry-distinct sites (fractional):
Nd 0.000 0.000 0.000 x2
Te 0.000 0.305 0.251 x4
Te 0.000 0.500 0.875 x2

Mass density, Mg/m³: 6.6
Crystal system: orthorhombic
Energy relative to the elements, uncorrected, eV per atom: -0.764